Below is an optimized crystal structure of Hg2RhI, with properties calculated at the PBE-GGA level.

The structure in CIF format:
```
data_Hg2RhI
_cell_length_a 7.1966
_cell_length_b 7.1966
_cell_length_c 7.1966
_cell_angle_alpha 90.00
_cell_angle_beta 90.00
_cell_angle_gamma 90.00
_symmetry_space_group_name_H-M 'F m -3 m'
_symmetry_Int_Tables_number 225
_symmetry_space_group_name_Hall '-F 4 2 3'
loop_
_atom_site_label
_atom_site_fract_x
_atom_site_fract_y
_atom_site_fract_z
Hg1 0.2500 0.2500 0.2500
Rh1 0.0000 0.0000 0.0000
I1 0.0000 0.0000 0.5000
```

Properties
calculated total energy = -27.53 eV for the cell shown
formation energy from raw total energies = 0.656 eV/atom